1.
Here is a crystal of TaNbB2 relaxed with PBEsol from Alexandria via LeMat-Bulk. Energies are from meta-GGA SCAN.

The calculation puts the formation energy at -0.6481 eV/atom. For the total energy, the calculation gives -29.291 eV/atom. Its calculated volume is 192 Å³/cell.

The space group is I4_1/amd (No. 141, origin choice 2) and the conventional cell measures 4.5772, 4.5772 and 9.1458 Å, with angles of 90.00, 90.00 and 90.00 degrees. The inequivalent atoms are Ta at (0.0000, 0.2500, 0.3750), Nb at (0.0000, 0.2500, 0.8750) and B at (0.0000, 0.2500, 0.1256).

2.
Here is a crystal of Os2RuPb relaxed with PBEsol from Alexandria via LeMat-Bulk. Energies are from meta-GGA SCAN.

The calculation puts the formation energy at 0.7901 eV/atom. For the total energy, the calculation gives -62.802 eV/atom. Its calculated volume is 128 Å³/cell.

The space group is Cm (No. 8) and the conventional cell measures 9.0501, 2.8710 and 4.9793 Å, with angles of 90.00, 99.53 and 90.00 degrees. The inequivalent atoms are Os at (0.0000, 0.0000, 0.0000), Os at (0.2407, 0.5000, 0.1881), Ru at (0.4801, 0.0000, 0.4335) and Pb at (0.2383, 0.0000, 0.6907).

3.
Here is a crystal of MgCuSi relaxed with PBEsol from Alexandria via LeMat-Bulk. Energies are from meta-GGA SCAN.

For the total energy, the calculation gives -10.180 eV/atom. The calculation puts the formation energy from raw total energies at -117.5 meV/atom. Its calculated volume is 45 Å³/cell.

The space group is P-6m2 (No. 187) and the conventional cell measures 4.0557, 4.0557 and 3.1678 Å, with angles of 90.00, 90.00 and 120.00 degrees. The inequivalent atoms are Mg at (0.0000, 0.0000, 0.0000), Cu at (0.6667, 0.3333, 0.5000) and Si at (0.3333, 0.6667, 0.5000).

4.
Here is a crystal of MnZn3B relaxed with PBEsol from Alexandria via LeMat-Bulk. Energies are from meta-GGA SCAN.

The calculation puts the formation energy at 0.3916 eV/atom. For the total energy, the calculation gives -12.854 eV/atom. Its calculated volume is 67 Å³/cell.

The space group is Pm-3m (No. 221) and the conventional cell measures 4.0627, 4.0627 and 4.0627 Å, with angles of 90.00, 90.00 and 90.00 degrees. The inequivalent atoms are Mn at (0.0000, 0.0000, 0.0000), Zn at (0.0000, 0.5000, 0.5000) and B at (0.5000, 0.5000, 0.5000).

5.
Here is a crystal of ZnTcNi2 relaxed with PBEsol from Alexandria via LeMat-Bulk. Energies are from meta-GGA SCAN.

The calculation puts the formation energy at -0.1030 eV/atom. For the total energy, the calculation gives -20.333 eV/atom. Its calculated volume is 47 Å³/cell.

The space group is P4/mmm (No. 123) and the conventional cell measures 2.5875, 2.5875 and 7.0449 Å, with angles of 90.00, 90.00 and 90.00 degrees. The inequivalent atoms are Zn at (0.0000, 0.0000, 0.0000), Tc at (0.0000, 0.0000, 0.5000) and Ni at (0.5000, 0.5000, 0.2462).

6.
Here is a crystal of SrTc2Mo relaxed with PBEsol from Alexandria via LeMat-Bulk. Energies are from meta-GGA SCAN.

The calculation puts the formation energy at 0.6215 eV/atom. For the energy above the most stable polymorph in this dataset, the calculation gives 0.000 eV/atom. For the total energy, the calculation gives -31.199 eV/atom. Its calculated volume is 77 Å³/cell.

The space group is P2/m (No. 10) and the conventional cell measures 2.8938, 4.0905 and 6.6598 Å, with angles of 90.00, 101.18 and 90.00 degrees. The inequivalent atoms are Sr at (0.0000, 0.0000, 0.0000), Tc at (0.2777, 0.5000, 0.6720) and Mo at (0.5000, 0.0000, 0.5000).